Entry 1:
MgTa4, optimized geometry, DFT PBE; energy of formation = 223 meV per atom; electronic total energy = -9.58 eV/atom; energy relative to the lowest polymorph listed for this composition = 0.000 eV per atom
1.0
1.357 -3.505 -4.013
-2.937 0.506 4.620
-3.323 3.101 -3.094
Ta Mg
4 1
Cartesian
-2.003 -1.277 -1.758
-2.546 -0.339 1.462
-2.899 1.380 -0.728
-2.357 0.442 -3.949
0.000 0.000 0.000



Entry 2:
Ba3Sr4Ca2, optimized geometry, DFT PBE; energy of formation = 71 meV per atom; electronic total energy = -1.76 eV/atom; energy relative to the lowest polymorph listed for this composition = 0.050 eV per atom
1.0
6.204 2.478 3.359
3.099 13.744 4.200
2.105 2.495 14.335
Ca Sr Ba
4 8 6
Cartesian
7.591 9.616 7.365
4.134 4.364 9.302
3.817 9.101 14.529
7.274 14.354 12.593
6.565 11.985 15.814
5.556 2.955 5.301
5.852 15.762 16.594
2.583 3.178 2.305
9.830 15.073 15.828
1.578 3.644 6.067
4.843 6.732 6.080
8.825 15.540 19.590
5.344 13.196 9.008
3.501 10.386 5.709
6.064 5.522 12.887
7.252 9.940 11.821
4.156 8.777 10.073
7.907 8.331 16.186



Entry 3:
TbPrZnGa, optimized geometry, DFT PBE; energy of formation = -447 meV per atom; electronic total energy = -3.87 eV/atom
1.0
5.177 0.000 0.000
2.588 4.483 0.000
2.588 1.494 4.227
Tb Zn Ga Pr
1 1 1 1
Cartesian
0.000 0.000 0.000
2.588 1.494 1.057
7.765 4.483 3.170
5.177 2.989 2.113



Entry 4:
AcSnAu4, optimized geometry, DFT PBE; energy of formation = -451 meV per atom; electronic total energy = -3.99 eV/atom; energy relative to the lowest polymorph listed for this composition = 0.000 eV per atom
1.0
4.075 0.000 0.000
0.000 7.520 0.000
0.000 0.000 19.396
Au Sn Ac
16 4 4
Cartesian
2.038 0.182 6.527
2.038 2.768 5.631
2.038 3.578 16.226
2.038 1.272 10.469
2.038 6.528 4.068
2.038 0.992 15.329
2.038 4.082 11.033
2.038 3.438 8.364
2.038 5.032 18.625
2.038 2.488 0.771
2.038 3.942 3.171
2.038 7.199 1.334
2.038 4.752 13.766
2.038 0.322 18.062
2.038 7.338 12.869
2.038 6.248 8.927
0.000 2.491 18.010
0.000 5.030 1.387
0.000 6.251 11.085
0.000 1.269 8.311
0.000 6.134 16.123
0.000 2.374 12.972
0.000 5.146 6.425
0.000 1.386 3.274



Entry 5:
TiGe2Br, optimized geometry, DFT PBE; electronic total energy = -4.17 eV/atom; raw formation energy = 0.53 eV/atom; energy relative to the lowest polymorph listed for this composition = 0.351 eV per atom
1.0
0.000 3.425 3.425
3.425 0.000 3.425
3.425 3.425 0.000
Ge Ti Br
2 1 1
Cartesian
1.712 1.712 1.712
5.137 5.137 5.137
0.000 0.000 0.000
3.425 3.425 3.425



Entry 6:
Nd2Cd6Au3, optimized geometry, DFT PBE; energy of formation = -333 meV per atom; electronic total energy = -2.59 eV/atom
1.0
4.429 0.000 0.000
0.000 8.334 0.000
0.000 -4.167 7.218
Au Nd Cd
3 2 6
Cartesian
2.215 -2.477 4.290
2.215 4.954 0.000
2.215 1.690 2.927
0.000 4.167 2.406
0.000 0.000 4.812
0.000 0.845 1.464
2.215 3.038 5.262
0.000 6.644 0.000
2.215 -1.129 1.956
0.000 -3.322 5.753
2.215 2.259 0.000



Entry 7:
Pm2Nd4DyEr2, optimized geometry, DFT PBE; energy of formation = 21 meV per atom; electronic total energy = -4.68 eV/atom
1.0
-3.494 -3.628 0.976
1.870 -0.295 -7.891
5.557 -4.280 3.988
Er Pm Nd Dy
2 2 4 1
Cartesian
0.082 -1.405 -4.929
3.851 -6.799 2.001
0.183 -4.866 -3.945
3.750 -3.338 1.018
2.044 -5.855 -0.957
0.101 -3.458 0.994
3.832 -4.745 -3.921
1.889 -2.349 -1.970
0.000 0.000 0.000



Entry 8:
LaDy2US8, optimized geometry, DFT PBE; electronic total energy = -6.39 eV/atom; raw formation energy = -1.52 eV/atom
1.0
6.178 -0.042 -0.004
-0.014 5.976 -0.003
0.006 0.014 8.461
S Dy La U
8 2 1 1
Cartesian
5.389 1.459 6.546
0.790 4.501 6.551
3.454 4.607 4.226
5.381 1.447 1.903
4.036 4.502 8.452
2.135 1.446 0.002
0.781 4.489 1.908
2.716 1.341 4.228
3.085 2.974 6.416
3.085 2.974 2.038
0.003 0.007 4.230
0.000 0.000 0.000



Entry 9:
AcPmRu, optimized geometry, DFT PBE; energy of formation = -129 meV per atom; electronic total energy = -6.17 eV/atom; energy relative to the lowest polymorph listed for this composition = 0.054 eV per atom
1.0
-4.116 -4.773 -1.279
3.084 -2.824 0.618
-2.426 1.224 3.238
Ac Ru Pm
1 1 1
Cartesian
-1.889 -5.112 0.517
-0.037 -0.042 -0.011
-1.533 -1.220 2.072



Entry 10:
Pu2NpAu, optimized geometry, DFT PBE; energy of formation = 188 meV per atom; electronic total energy = -11.03 eV/atom; energy relative to the lowest polymorph listed for this composition = 0.127 eV per atom
1.0
-3.271 0.159 -3.683
-1.757 -4.186 -1.919
-4.684 -1.305 0.806
Np Au Pu
1 1 2
Cartesian
0.000 0.000 0.000
-4.856 -2.666 -2.398
-7.284 -3.999 -3.597
-2.428 -1.333 -1.199



Entry 11:
Er4Tm7Th, optimized geometry, DFT PBE; energy of formation = 328 meV per atom; electronic total energy = -4.42 eV/atom; energy relative to the lowest polymorph listed for this composition = 0.243 eV per atom
1.0
5.837 0.000 0.000
2.918 10.951 -0.275
2.918 0.142 5.995
Tm Er Th
7 4 1
Cartesian
2.918 7.417 1.054
2.918 0.916 2.941
8.755 10.177 2.778
5.837 5.485 1.260
8.755 3.675 4.665
2.918 0.000 0.000
5.837 5.608 4.459
5.837 2.535 2.954
2.918 3.512 1.025
8.755 7.581 4.694
5.837 8.558 2.765
0.000 0.000 0.000



Entry 12:
Pm6SnPb5, optimized geometry, DFT PBE; energy of formation = -532 meV per atom; electronic total energy = -4.79 eV/atom; energy relative to the lowest polymorph listed for this composition = 0.000 eV per atom
1.0
-1.314 -2.475 4.215
0.577 -6.423 -6.634
8.264 3.772 1.749
Pm Pb Sn
6 5 1
Cartesian
6.940 -2.174 0.883
4.397 -5.546 -1.890
1.177 -2.485 1.944
6.351 -2.640 -2.613
3.130 0.421 1.221
0.587 -2.951 -1.552
5.688 0.356 -1.060
1.220 -5.936 -3.109
6.307 0.811 2.439
1.839 -5.481 0.390
3.764 -2.563 -0.335
0.000 0.000 0.000



Entry 13:
Tb2Dy7Tl2, optimized geometry, DFT PBE; energy of formation = -20 meV per atom; electronic total energy = -4.22 eV/atom
1.0
-2.656 -2.123 -1.321
-1.605 -6.623 8.840
-7.447 1.052 8.248
Tb Dy Tl
2 7 2
Cartesian
-6.449 -3.065 7.823
-3.189 -4.543 8.680
-4.316 -1.838 1.561
-8.666 -4.183 14.077
-5.068 -0.494 5.947
-6.222 -4.930 10.363
-8.473 -0.407 7.618
-9.430 -3.537 9.537
-4.532 -4.019 5.501
-2.279 -2.694 3.876
-8.221 -6.589 12.014



Entry 14:
CdBr2Cl, optimized geometry, DFT PBE; electronic total energy = -1.48 eV/atom; raw formation energy = 0.05 eV/atom; energy relative to the lowest polymorph listed for this composition = 0.607 eV per atom
1.0
-4.846 -1.500 0.225
-0.213 -0.072 -5.073
1.145 -3.698 0.005
Br Cd Cl
2 1 1
Cartesian
-2.529 -0.786 -2.424
0.000 0.000 0.000
-1.851 -2.599 0.115
0.466 -1.885 -2.534



Entry 15:
VZn2Ag, optimized geometry, DFT PBE; energy of formation = 360 meV per atom; electronic total energy = -3.27 eV/atom
1.0
-0.111 1.807 2.055
0.553 -0.802 2.560
9.733 2.506 0.146
V Zn Ag
1 2 1
Cartesian
0.000 0.000 0.000
7.223 1.937 0.511
2.953 1.573 4.250
5.088 1.755 2.380



Entry 16:
Sm4SiTe, optimized geometry, DFT PBE; electronic total energy = -5.24 eV/atom; raw formation energy = -0.66 eV/atom
1.0
6.795 1.189 0.000
-1.656 8.039 0.000
0.000 0.000 6.295
Sm Te Si
8 2 2
Cartesian
-0.504 6.067 3.160
2.419 1.482 4.721
2.720 7.746 1.574
1.975 3.909 1.574
-0.504 6.067 6.282
5.643 3.161 0.013
3.163 5.318 4.721
5.643 3.161 3.134
1.464 0.821 1.574
3.675 8.407 4.721
4.493 5.442 1.574
0.645 3.786 4.721



Entry 17:
NiOsBr, optimized geometry, DFT PBE; electronic total energy = -4.99 eV/atom; raw formation energy = 1.24 eV/atom; energy relative to the lowest polymorph listed for this composition = 0.391 eV per atom
1.0
-1.749 -3.592 1.037
1.113 0.700 -3.913
2.811 -1.200 0.585
Br Os Ni
1 1 1
Cartesian
2.699 -1.152 0.562
2.195 -1.600 -1.839
0.093 -2.540 -0.428



Entry 18:
KLaBrCl2, optimized geometry, DFT PBE; electronic total energy = -4.07 eV/atom; raw formation energy = -1.79 eV/atom
1.0
5.630 0.000 0.000
0.000 5.630 0.000
0.000 0.000 5.987
La Cl K Br
1 2 1 1
Cartesian
0.000 0.000 0.000
2.815 0.000 0.000
0.000 2.815 0.000
2.815 2.815 2.994
0.000 0.000 2.994



Entry 19:
Nd2Er5Th4, optimized geometry, DFT PBE; energy of formation = 33 meV per atom; electronic total energy = -5.61 eV/atom
1.0
-3.420 0.752 -0.726
-0.262 -6.630 -5.627
-8.595 -10.118 3.593
Th Er Nd
4 5 2
Cartesian
-7.714 -8.286 1.337
-3.806 -2.078 -1.833
-4.563 -7.710 -4.097
-8.471 -13.918 -0.927
-2.462 -5.218 -2.614
-9.816 -10.778 -0.146
-6.389 -3.454 0.100
-1.710 0.376 -0.363
-5.888 -12.542 -2.860
-7.178 -9.210 -2.141
-5.099 -6.786 -0.619



Entry 20:
BiBTe, optimized geometry, DFT PBE; electronic total energy = -3.42 eV/atom; raw formation energy = 1.15 eV/atom
1.0
-0.583 -1.830 4.278
-0.429 -4.640 0.527
3.460 -2.464 1.988
Bi Te B
1 1 1
Cartesian
0.000 0.000 0.000
1.224 -4.467 3.396
1.836 -6.701 5.095



Entry 21:
Tb2Cd6Ag3, optimized geometry, DFT PBE; energy of formation = -105 meV per atom; electronic total energy = -2.22 eV/atom
1.0
-0.703 -0.505 4.578
-7.574 2.477 -0.889
1.763 -7.800 -0.591
Ag Cd Tb
3 6 2
Cartesian
0.686 -4.841 1.941
-2.744 -2.445 1.680
-4.807 1.204 1.766
-1.242 -1.138 -0.316
-2.273 0.376 2.063
-5.955 1.947 -0.699
0.096 -2.232 2.139
-4.688 -4.225 1.185
1.386 -6.132 -0.464
-1.349 -4.374 -0.690
-4.462 -0.949 -0.790



Entry 22:
Tb4Pd2C, optimized geometry, DFT PBE; energy of formation = -452 meV per atom; electronic total energy = -5.90 eV/atom
1.0
-3.083 1.824 3.244
3.132 -1.003 3.541
3.006 6.882 2.589
Tb C Pd
4 1 2
Cartesian
1.970 4.633 2.868
-1.542 0.912 1.622
1.566 -0.502 1.771
1.085 3.069 6.506
0.000 0.000 0.000
2.245 5.588 6.193
0.809 2.114 3.181



Entry 23:
CsUGe2S8, optimized geometry, DFT PBE; electronic total energy = -5.09 eV/atom; raw formation energy = -0.56 eV/atom
1.0
6.411 0.000 0.000
-3.206 5.552 0.000
0.000 0.000 9.516
U S Ge Cs
1 8 2 1
Cartesian
0.000 0.000 4.758
2.145 3.729 6.225
-1.049 1.830 6.225
4.302 0.006 3.291
1.060 1.824 3.291
-1.096 5.546 6.225
3.206 1.851 0.394
4.255 3.722 3.291
0.000 3.701 9.123
3.206 1.851 2.568
0.000 3.701 6.948
0.000 0.000 0.000